## a
Material: Sr3TlH
Method: DFT, PBE-GGA
State: relaxed

Output
**Total magnetization**: 0.0 μB/f.u.
**Symmetry**: No. 221

a = 5.3609 Å, b = 5.3609 Å, c = 5.3609 Å
α = 90.00°, β = 90.00°, γ = 90.00°
Atoms (fractional coordinates):
Sr (0.0000, 0.0000, 0.5000)
Sr (0.0000, 0.5000, 0.0000)
Sr (0.5000, 0.0000, 0.0000)
Tl (0.5000, 0.5000, 0.5000)
H (0.0000, 0.0000, 0.0000)

## b
Material: Sr3TlH
Method: DFT, PBE-GGA
State: relaxed

Output
**Total magnetization**: 0.7 μB/f.u.
**Symmetry**: No. 63

a = 7.7882 Å, b = 7.7882 Å, c = 10.7226 Å
α = 90.00°, β = 90.00°, γ = 147.84°
Atoms (fractional coordinates):
Sr (0.0471, 0.9529, 0.7500)
Sr (0.3565, 0.6435, 0.5681)
Sr (0.3565, 0.6435, 0.9319)
Sr (0.6435, 0.3565, 0.0681)
Sr (0.6435, 0.3565, 0.4319)
Sr (0.9529, 0.0471, 0.2500)
Tl (0.2718, 0.7282, 0.2500)
Tl (0.7282, 0.2718, 0.7500)
H (0.4615, 0.5385, 0.7500)
H (0.5385, 0.4615, 0.2500)

## c
Material: Sr3TlH
Method: DFT, PBE-GGA
State: relaxed

Output
**Total magnetization**: 0.4 μB/f.u.
**Symmetry**: No. 11

a = 8.6875 Å, b = 4.0303 Å, c = 9.8142 Å
α = 90.00°, β = 94.53°, γ = 90.00°
Atoms (fractional coordinates):
Sr (0.0538, 0.2500, 0.2924)
Sr (0.2905, 0.2500, 0.9610)
Sr (0.3455, 0.7500, 0.6060)
Sr (0.6545, 0.2500, 0.3940)
Sr (0.7095, 0.7500, 0.0390)
Sr (0.9462, 0.7500, 0.7076)
Tl (0.3625, 0.7500, 0.2441)
Tl (0.6375, 0.2500, 0.7559)
H (0.1662, 0.2500, 0.7117)
H (0.8338, 0.7500, 0.2883)

Structures ranked by computed energy, the most stable listed first: b, a, c.

## a
Material: SrTl2H2
Method: DFT, PBE-GGA
State: relaxed

Output
**Total magnetization**: 0.0 μB/f.u.
**Symmetry**: No. 139

a = 6.7760 Å, b = 6.7760 Å, c = 6.7760 Å
α = 143.05°, β = 143.05°, γ = 53.25°
Atoms (fractional coordinates):
Sr (0.0000, 0.0000, 0.0000)
Tl (0.3356, 0.3356, 0.0000)
Tl (0.6644, 0.6644, 0.0000)
H (0.2500, 0.7500, 0.5000)
H (0.7500, 0.2500, 0.5000)

## b
Material: SrTl2H2
Method: DFT, PBE-GGA
State: relaxed

Output
**Total magnetization**: 0.0 μB/f.u.
**Symmetry**: No. 127

a = 6.7558 Å, b = 6.7558 Å, c = 5.0460 Å
α = 90.00°, β = 90.00°, γ = 90.00°
Atoms (fractional coordinates):
Sr (0.0000, 0.0000, 0.0000)
Sr (0.5000, 0.5000, 0.0000)
Tl (0.1729, 0.3271, 0.5000)
Tl (0.3271, 0.8271, 0.5000)
Tl (0.6729, 0.1729, 0.5000)
Tl (0.8271, 0.6729, 0.5000)
H (0.2038, 0.2962, 0.0000)
H (0.2962, 0.7962, 0.0000)
H (0.7038, 0.2038, 0.0000)
H (0.7962, 0.7038, 0.0000)

Structures ranked by computed energy, the most stable listed first: b, a.

## a
Material: SrTlH2
Method: DFT, PBE-GGA
State: relaxed

Output
**Total magnetization**: 0.0 μB/f.u.
**Symmetry**: No. 122

a = 7.2718 Å, b = 7.2718 Å, c = 7.2718 Å
α = 137.74°, β = 137.74°, γ = 61.30°
Atoms (fractional coordinates):
Sr (0.0000, 0.0000, 0.0000)
Sr (0.7500, 0.2500, 0.5000)
Tl (0.2500, 0.7500, 0.5000)
Tl (0.5000, 0.5000, 0.0000)
H (0.0904, 0.6250, 0.9654)
H (0.3750, 0.3404, 0.4654)
H (0.6596, 0.1250, 0.0346)
H (0.8750, 0.9096, 0.5346)

## b
Material: SrTlH2
Method: DFT, PBE-GGA
State: relaxed

Output
**Total magnetization**: 0.0 μB/f.u.
**Symmetry**: No. 225

a = 4.6430 Å, b = 4.6430 Å, c = 4.6430 Å
α = 60.00°, β = 60.00°, γ = 60.00°
Atoms (fractional coordinates):
Sr (0.0000, 0.0000, 0.0000)
Tl (0.5000, 0.5000, 0.5000)
H (0.2500, 0.2500, 0.2500)
H (0.7500, 0.7500, 0.7500)

Structures ranked by computed energy, the most stable listed first: a, b.

## a
Material: SrY2TlH
Method: DFT, PBE-GGA
State: relaxed

Output
**Total magnetization**: 1.3 μB/f.u.
**Symmetry**: No. 123

a = 4.9789 Å, b = 4.9789 Å, c = 5.0717 Å
α = 90.00°, β = 90.00°, γ = 90.00°
Atoms (fractional coordinates):
Sr (0.0000, 0.0000, 0.0000)
Y (0.0000, 0.5000, 0.5000)
Y (0.5000, 0.0000, 0.5000)
Tl (0.5000, 0.5000, 0.0000)
H (0.0000, 0.0000, 0.5000)

## b
Material: SrY2TlH
Method: DFT, PBE-GGA
State: relaxed

Output
**Total magnetization**: 0.9 μB/f.u.
**Symmetry**: No. 123

a = 6.0824 Å, b = 6.0824 Å, c = 5.8567 Å
α = 90.00°, β = 90.00°, γ = 90.00°
Atoms (fractional coordinates):
Sr (0.0000, 0.0000, 0.0000)
Y (0.0000, 0.5000, 0.0000)
Y (0.5000, 0.0000, 0.0000)
Tl (0.0000, 0.0000, 0.5000)
H (0.5000, 0.5000, 0.5000)

Structures ranked by computed energy, the most stable listed first: a, b.

## a
Material: SrH3W
Method: DFT, PBE-GGA
State: relaxed

Output
**Total magnetization**: 0.0 μB/f.u.
**Symmetry**: No. 221

a = 4.0283 Å, b = 4.0283 Å, c = 4.0283 Å
α = 90.00°, β = 90.00°, γ = 90.00°
Atoms (fractional coordinates):
Sr (0.0000, 0.0000, 0.0000)
H (0.0000, 0.0000, 0.5000)
H (0.0000, 0.5000, 0.0000)
H (0.5000, 0.0000, 0.0000)
W (0.5000, 0.5000, 0.5000)

## b
Material: SrH3W
Method: DFT, PBE-GGA
State: relaxed

Output
**Total magnetization**: 0.0 μB/f.u.
**Symmetry**: No. 221

a = 3.8361 Å, b = 3.8361 Å, c = 3.8361 Å
α = 90.00°, β = 90.00°, γ = 90.00°
Atoms (fractional coordinates):
Sr (0.0000, 0.0000, 0.0000)
H (0.0000, 0.5000, 0.5000)
H (0.5000, 0.0000, 0.5000)
H (0.5000, 0.5000, 0.0000)
W (0.5000, 0.5000, 0.5000)

Structures ranked by computed energy, the most stable listed first: b, a.

## a
Material: SrHW3
Method: DFT, PBE-GGA
State: relaxed

Output
**Total magnetization**: 0.0 μB/f.u.
**Symmetry**: No. 221

a = 4.8174 Å, b = 4.8174 Å, c = 4.8174 Å
α = 90.00°, β = 90.00°, γ = 90.00°
Atoms (fractional coordinates):
Sr (0.0000, 0.0000, 0.0000)
H (0.5000, 0.5000, 0.5000)
W (0.0000, 0.0000, 0.5000)
W (0.0000, 0.5000, 0.0000)
W (0.5000, 0.0000, 0.0000)

## b
Material: SrHW3
Method: DFT, PBE-GGA
State: relaxed

Output
**Total magnetization**: 0.0 μB/f.u.
**Symmetry**: No. 221

a = 4.3134 Å, b = 4.3134 Å, c = 4.3134 Å
α = 90.00°, β = 90.00°, γ = 90.00°
Atoms (fractional coordinates):
Sr (0.0000, 0.0000, 0.0000)
H (0.5000, 0.5000, 0.5000)
W (0.0000, 0.5000, 0.5000)
W (0.5000, 0.0000, 0.5000)
W (0.5000, 0.5000, 0.0000)

Structures ranked by computed energy, the most stable listed first: b, a.

## a
Material: Sr3HW
Method: DFT, PBE-GGA
State: relaxed

Output
**Total magnetization**: 3.5 μB/f.u.
**Symmetry**: No. 221

a = 5.2300 Å, b = 5.2300 Å, c = 5.2300 Å
α = 90.00°, β = 90.00°, γ = 90.00°
Atoms (fractional coordinates):
Sr (0.0000, 0.0000, 0.5000)
Sr (0.0000, 0.5000, 0.0000)
Sr (0.5000, 0.0000, 0.0000)
H (0.0000, 0.0000, 0.0000)
W (0.5000, 0.5000, 0.5000)

## b
Material: Sr3HW
Method: DFT, PBE-GGA
State: relaxed

Output
**Total magnetization**: 0.0 μB/f.u.
**Symmetry**: No. 221

a = 5.8298 Å, b = 5.8298 Å, c = 5.8298 Å
α = 90.00°, β = 90.00°, γ = 90.00°
Atoms (fractional coordinates):
Sr (0.0000, 0.0000, 0.5000)
Sr (0.0000, 0.5000, 0.0000)
Sr (0.5000, 0.0000, 0.0000)
H (0.5000, 0.5000, 0.5000)
W (0.0000, 0.0000, 0.0000)

Structures ranked by computed energy, the most stable listed first: a, b.